# MnTl2VF6

A relaxed structure of MnTl2VF6 (PBE with a Hubbard U, Alexandria via LeMat-Bulk).

final energy: -108.67 eV/cell
space-group type: Immm

abc: 6.0770 6.0679 8.5817
angles: 90.00 90.00 90.00
Last column: magnetic moment on the atom in μB.
Atoms (fractional coordinates):
Mn 0.0000 0.7499 0.5000  4.69
Mn 0.5000 0.2501 0.0000  4.69
Tl 0.5000 0.7500 0.2503  0.00
Tl 0.0000 0.2500 0.7503  0.00
Tl 0.5000 0.7500 0.7497  0.00
Tl 0.0000 0.2500 0.2497  0.00
V 0.5000 0.2500 0.5000  2.77
V 0.0000 0.7500 0.0000  2.77
F 0.5000 0.2500 0.2509  0.03
F 0.5000 0.2500 0.7491  0.03
F 0.0000 0.7500 0.2491  0.03
F 0.0000 0.7500 0.7509  0.03
F 0.2506 0.0005 0.5000  0.03
F 0.7494 0.0005 0.5000  0.03
F 0.2506 0.4994 0.5000  0.03
F 0.7494 0.4994 0.5000  0.03
F 0.7506 0.5006 0.0000  0.03
F 0.2494 0.5006 0.0000  0.03
F 0.2494 0.9995 0.0000  0.03
F 0.7506 0.9995 0.0000  0.03